A plane-wave DFT calculation with GGA-PBEsol was carried out for an optimized crystal structure of CeTlPdS3.

Lattice parameters (Å, degrees): 6.5468 6.5468 10.5756 90.00 90.00 144.29
Last column: nearest neighbours and their distance in Å.
Fractional coordinates of all 12 atoms:
Ce 0.0000 0.0000 0.0000  6 S 2.70
Ce 0.0000 0.0000 0.5000  6 S 2.70
Tl 0.2608 0.7392 0.7500  2 Pd 3.02, 8 S 3.16-3.36
Tl 0.7392 0.2608 0.2500  2 Pd 3.02, 8 S 3.16-3.36
Pd 0.4207 0.5793 0.2500  4 S 2.36-2.53
Pd 0.5793 0.4207 0.7500  4 S 2.36-2.53
S 0.0436 0.9564 0.2500  2 Pd 2.53, 2 Ce 2.70
S 0.3594 0.6406 0.0387  1 Pd 2.36
S 0.3594 0.6406 0.4613  1 Pd 2.36
S 0.6406 0.3594 0.5387  1 Pd 2.36
S 0.6406 0.3594 0.9613  1 Pd 2.36
S 0.9564 0.0436 0.7500  2 Pd 2.53, 2 Ce 2.70

Total moment, μB/f.u.: 0.00
Total energy, eV for the cell shown: -69.32
DOS(E_F), states/eV per atom: 0.43
Uncorrected formation energy, meV/atom: -1054